Pm3Pr3HoTe8 | PBE | relaxed

Results
* formation energy (no corrections): -1.445 eV per atom
* mass density: 6.7 Mg/m³

Unit cell a=8.9409 b=8.9409 c=21.9975 alpha=90.00 beta=90.00 gamma=120.00
Closest atoms and distances in Å follow each position.
Space group R-3m (No. 166, hexagonal axes)
Unique sites:
1 Pm 0.0000 0.5000 0.0000 [9 per cell]  6 Te 3.15
2 Pr 0.0000 0.5000 0.5000 [9 per cell]  6 Te 3.19
3 Ho 0.0000 0.0000 0.0000 [3 per cell]  6 Te 3.14
4 Te 0.0000 0.0000 0.2516 [6 per cell]  3 Pm 3.15, 3 Pr 3.19
5 Te 0.9999 0.5000 0.2516 [18 per cell]  1 Ho 3.14, 2 Pm 3.15, 2 Pr 3.19